Here is an optimized crystal structure of Sc3AuN from the Open Quantum Materials Database. Energies are from PBE-GGA.

The structure belongs to space group P-1 (No. 2); the cell edges are 6.175, 6.185 and 6.236 Å and the angles 119.72°, 119.62° and 90.04°. The asymmetric unit holds Sc at (0.210, 0.210, 0.013), Sc at (0.255, 0.770, 0.500), Sc at (0.285, 0.692, 0.977), Au at (0.251, 0.246, 0.500), N at (0.000, 0.500, 0.000) and N at (0.500, 0.000, 0.000).

***

Here is an optimized crystal structure of NaPmSi from the Open Quantum Materials Database. Energies are from PBE-GGA.

The structure belongs to space group F-43m (No. 216); the cell edges are 6.950, 6.950 and 6.950 Å and the angles 90.00°, 90.00° and 90.00°. The asymmetric unit holds Na at (0.000, 0.000, 0.000), Pm at (0.000, 0.000, 0.500) and Si at (0.250, 0.250, 0.250).

***

Here is an optimized crystal structure of Nd2GdCu4Sn2Ge2 from the Open Quantum Materials Database. Energies are from PBE-GGA.

The structure belongs to space group Immm (No. 71); the cell edges are 4.471, 6.733 and 14.701 Å and the angles 90.00°, 90.00° and 90.00°. The asymmetric unit holds Nd at (0.000, 0.000, 0.128), Gd at (0.000, 0.500, 0.000), Cu at (0.000, 0.186, 0.341), Sn at (0.000, 0.500, 0.216) and Ge at (0.000, 0.308, 0.500).

***

Here is an optimized crystal structure of RbHfCuTeSe2 from the Open Quantum Materials Database. Energies are from PBE-GGA.

The structure belongs to space group Cmcm (No. 63); the cell edges are 3.945, 16.195 and 10.597 Å and the angles 90.00°, 90.00° and 90.00°. The asymmetric unit holds Rb at (0.000, 0.233, 0.250), Hf at (0.000, 0.000, 0.000), Cu at (0.000, 0.473, 0.750), Te at (0.000, 0.078, 0.750) and Se at (0.000, 0.391, 0.558).

***

Result set for M_tot: 0.0, 0.0, 0.0, 0.0 Bohr magnetons per cell, one per record in the order listed.
Result set for calculated total energy: -73.11, -48.62, -105.74, -122.77 eV for the cell shown, one per record in the order listed.